[1]
# CoAsF3

A geometry-optimized CoAsF3 structure (GGA-PBEsol, Alexandria via LeMat-Bulk).

Cell lengths 4.2192, 4.2192, 4.2192 Å; angles 90.00, 90.00, 90.00 degrees
With the nearest neighbours (Å) after each atom.
Fractional coordinates of all 5 atoms:
Co 0.0000 0.0000 0.0000  12 F 2.98
As 0.5000 0.5000 0.5000  6 F 2.11
F 0.0000 0.5000 0.5000  2 As 2.11
F 0.5000 0.0000 0.5000  2 As 2.11
F 0.5000 0.5000 0.0000  2 As 2.11

Symmetry: Pm-3m (221)
Total energy (Ry/atom): -0.3076
ΔE_f (raw) (eV/atom): -0.460

=====

[2]
# K2CoAsF

A geometry-optimized K2CoAsF structure (GGA-PBEsol, Alexandria via LeMat-Bulk).

Cell lengths 5.9058, 5.9058, 4.2410 Å; angles 90.00, 90.00, 90.00 degrees
With the nearest neighbours (Å) after each atom.
Fractional coordinates of all 5 atoms:
K 0.0000 0.5000 0.0000  2 Co 2.95
K 0.5000 0.0000 0.0000  2 Co 2.95
Co 0.0000 0.0000 0.0000  2 As 2.12
As 0.0000 0.0000 0.5000  2 Co 2.12
F 0.5000 0.5000 0.5000  8 K 3.64

Symmetry: P4/mmm (123)
Total energy (Ry/atom): -0.2858
ΔE_f (raw) (eV/atom): -0.482

=====

[3]
# CoAsN2F

A geometry-optimized CoAsN2F structure (GGA-PBEsol, Alexandria via LeMat-Bulk).

Cell lengths 3.7195, 3.7195, 3.6405 Å; angles 90.00, 90.00, 90.00 degrees
With the nearest neighbours (Å) after each atom.
Fractional coordinates of all 5 atoms:
Co 0.0000 0.0000 0.0000  2 F 1.82, 4 N 1.86
As 0.5000 0.5000 0.5000  8 N 2.60, 4 F 2.63
N 0.0000 0.5000 0.0000  2 Co 1.86
N 0.5000 0.0000 0.0000  2 Co 1.86
F 0.0000 0.0000 0.5000  2 Co 1.82

Symmetry: P4/mmm (123)
Total energy (Ry/atom): -0.4317
ΔE_f (raw) (eV/atom): 0.492

=====

[4]
# Fe2CoAs

A geometry-optimized Fe2CoAs structure (GGA-PBEsol, Alexandria via LeMat-Bulk).

Cell lengths 3.0716, 3.0716, 4.9926 Å; angles 90.00, 90.00, 90.00 degrees
With the nearest neighbours (Å) after each atom.
Fractional coordinates of all 4 atoms:
Fe 0.0000 0.0000 0.2488  2 Fe 2.48-2.51, 4 Co 2.50, 4 As 2.51
Fe 0.0000 0.0000 0.7512  2 Fe 2.48-2.51, 4 Co 2.50, 4 As 2.51
Co 0.5000 0.5000 0.0000  2 As 2.50, 8 Fe 2.50
As 0.5000 0.5000 0.5000  2 Co 2.50, 8 Fe 2.51

Symmetry: P4/mmm (123)
Total energy (Ry/atom): -0.5598
Energy relative to the elements (kcal/mol of atoms): 1.7

=====

Record-wise mass density values, in g/cm³: 4.2; 2.6; 6.0; 8.7